[1]
## TlCu2SeO6 (GGA-PBE)

Data for a relaxed TlCu2SeO6 crystal.

```
TlCu2SeO6
1.0
5.712 -3.832 0.000
5.712 3.832 0.000
-2.813 0.000 6.059
Tl Cu Se O
2 4 2 12
Direct
0.192 0.808 0.750 Tl
0.808 0.192 0.250 Tl
0.259 0.333 0.804 Cu
0.333 0.259 0.304 Cu
0.667 0.741 0.696 Cu
0.741 0.667 0.196 Cu
0.246 0.754 0.250 Se
0.754 0.246 0.750 Se
0.003 0.809 0.313 O
0.124 0.633 0.922 O
0.191 0.997 0.187 O
0.248 0.406 0.560 O
0.367 0.876 0.578 O
0.406 0.248 0.060 O
0.594 0.752 0.940 O
0.633 0.124 0.422 O
0.752 0.594 0.440 O
0.809 0.003 0.813 O
0.876 0.367 0.078 O
0.997 0.191 0.687 O
```

Computed properties:
- formation energy without anion corrections (meV per atom) = -418
- crystal system = monoclinic

[2]
## PaTaRe2N6 (GGA-PBE)

Data for a relaxed PaTaRe2N6 crystal.

```
PaTaRe2N6
1.0
5.329 0.000 0.000
2.655 4.732 0.000
2.559 1.667 4.794
Pa Ta Re N
1 1 2 6
Direct
0.000 0.000 0.000 Pa
0.461 0.514 0.511 Ta
0.206 0.187 0.361 Re
0.697 0.687 0.904 Re
0.083 0.808 0.664 N
0.313 0.563 0.190 N
0.436 0.098 0.655 N
0.550 0.916 0.172 N
0.773 0.426 0.681 N
0.944 0.375 0.146 N
```

Computed properties:
- formation energy without anion corrections (meV per atom) = -577
- crystal system = triclinic

[3]
## Mg2ScCd (GGA-PBE)

Data for a relaxed Mg2ScCd crystal.

```
Mg2ScCd
1.0
3.536 0.000 0.000
0.000 3.653 0.000
0.000 0.000 6.948
Mg Sc Cd
2 1 1
Direct
0.000 0.000 0.241 Mg
0.000 0.000 0.759 Mg
0.500 0.500 0.500 Sc
0.500 0.500 0.000 Cd
```

Computed properties:
- formation energy from the elements (meV/atom) = -56.2
- crystal system = orthorhombic

[4]
## BeNb2MoAs (GGA-PBE)

Data for a relaxed BeNb2MoAs crystal.

```
BeNb2MoAs
1.0
4.833 0.000 0.000
0.000 4.833 0.000
0.000 0.000 4.238
Be Nb Mo As
1 2 1 1
Direct
0.000 0.000 0.000 Be
0.000 0.500 0.500 Nb
0.500 0.000 0.500 Nb
0.000 0.000 0.500 Mo
0.500 0.500 0.000 As
```

Computed properties:
- formation energy from the elements (meV/atom) = 1142.9
- crystal system = tetragonal

[5]
## CsTl3Au (GGA-PBE)

Data for a relaxed CsTl3Au crystal.

```
CsTl3Au
1.0
8.196 -5.447 0.000
8.196 5.447 0.000
-1.896 0.000 7.593
Cs Tl Au
4 12 4
Direct
0.023 0.977 0.750 Cs
0.359 0.641 0.250 Cs
0.641 0.359 0.750 Cs
0.977 0.023 0.250 Cs
0.007 0.358 0.596 Tl
0.012 0.354 0.086 Tl
0.303 0.316 0.407 Tl
0.316 0.303 0.907 Tl
0.354 0.012 0.586 Tl
0.358 0.007 0.096 Tl
0.642 0.993 0.904 Tl
0.646 0.988 0.414 Tl
0.684 0.697 0.093 Tl
0.697 0.684 0.593 Tl
0.988 0.646 0.914 Tl
0.993 0.642 0.404 Tl
0.244 0.580 0.716 Au
0.420 0.756 0.784 Au
0.580 0.244 0.216 Au
0.756 0.420 0.284 Au
```

Computed properties:
- formation energy from the elements (meV/atom) = -97.7
- energy above the lowest structure with this stoichiometry (eV per atom) = 0.000
- crystal system = monoclinic

[6]
## Sb2RhPb (GGA-PBE)

Data for a relaxed Sb2RhPb crystal.

```
Sb2RhPb
1.0
3.300 0.000 0.000
0.000 3.291 0.000
-1.638 0.000 9.143
Sb Rh Pb
2 1 1
Direct
0.000 0.000 0.000 Sb
0.205 0.500 0.323 Sb
0.424 0.500 0.848 Rh
0.822 0.000 0.624 Pb
```

Computed properties:
- formation energy without anion corrections (meV per atom) = -53
- crystal system = monoclinic

[7]
## MnFeBiPd2 (GGA-PBE)

Data for a relaxed MnFeBiPd2 crystal.

```
MnFeBiPd2
1.0
4.589 0.000 0.000
0.000 4.589 0.000
0.000 0.000 4.840
Mn Fe Bi Pd
1 1 1 2
Direct
0.000 0.000 0.000 Mn
0.500 0.500 0.500 Fe
0.500 0.500 0.000 Bi
0.000 0.500 0.500 Pd
0.500 0.000 0.500 Pd
```

Computed properties:
- formation energy from the elements (meV/atom) = 1351.4
- crystal system = tetragonal

[8]
## LaTb2Lu (GGA-PBE)

Data for a relaxed LaTb2Lu crystal.

```
LaTb2Lu
1.0
0.000 4.042 4.042
4.042 0.000 4.042
4.042 4.042 0.000
La Tb Lu
1 2 1
Direct
0.000 0.000 0.000 La
0.250 0.250 0.250 Tb
0.750 0.750 0.750 Tb
0.500 0.500 0.500 Lu
```

Computed properties:
- formation energy from the elements (meV/atom) = 150.4
- energy above the lowest structure with this stoichiometry (eV per atom) = 0.122
- crystal system = cubic

[9]
## Rb2Na5Hg12 (GGA-PBE)

Data for a relaxed Rb2Na5Hg12 crystal.

```
Rb2Na5Hg12
1.0
5.446 3.144 5.484
-5.446 3.144 5.484
0.000 -6.288 5.484
Rb Na Hg
2 5 12
Direct
0.147 0.147 0.147 Rb
0.853 0.853 0.853 Rb
0.000 0.500 0.500 Na
0.405 0.405 0.405 Na
0.500 0.000 0.500 Na
0.500 0.500 0.000 Na
0.595 0.595 0.595 Na
0.147 0.147 0.627 Hg
0.147 0.627 0.147 Hg
0.208 0.500 0.792 Hg
0.208 0.792 0.500 Hg
0.373 0.853 0.853 Hg
0.500 0.208 0.792 Hg
0.500 0.792 0.208 Hg
0.627 0.147 0.147 Hg
0.792 0.208 0.500 Hg
0.792 0.500 0.208 Hg
0.853 0.373 0.853 Hg
0.853 0.853 0.373 Hg
```

Computed properties:
- formation energy from the elements (meV/atom) = -208.2
- crystal system = trigonal

[10]
## Ac4Ir2Br (GGA-PBE)

Data for a relaxed Ac4Ir2Br crystal.

```
Ac4Ir2Br
1.0
2.196 1.268 15.238
-2.196 1.268 15.238
0.000 -2.536 15.238
Ac Ir Br
4 2 1
Direct
0.124 0.124 0.124 Ac
0.278 0.278 0.278 Ac
0.722 0.722 0.722 Ac
0.876 0.876 0.876 Ac
0.423 0.423 0.423 Ir
0.577 0.577 0.577 Ir
0.000 0.000 0.000 Br
```

Computed properties:
- formation energy without anion corrections (meV per atom) = -933
- crystal system = trigonal

[11]
## Na2BTe5 (GGA-PBE)

Data for a relaxed Na2BTe5 crystal.

```
Na2BTe5
1.0
5.936 0.000 0.000
1.958 6.708 0.000
2.559 2.693 6.820
Na B Te
2 1 5
Direct
0.000 0.000 0.000 Na
0.462 0.463 0.115 Na
0.078 0.611 0.670 B
0.001 0.944 0.438 Te
0.479 0.576 0.493 Te
0.483 0.029 0.499 Te
0.962 0.378 0.595 Te
0.988 0.561 0.986 Te
```

Computed properties:
- formation energy without anion corrections (meV per atom) = -178
- crystal system = triclinic

[12]
## ZnCd2Si2 (GGA-PBE)

Data for a relaxed ZnCd2Si2 crystal.

```
ZnCd2Si2
1.0
-2.203 2.203 5.489
2.203 -2.203 5.489
2.203 2.203 -5.489
Zn Cd Si
1 2 2
Direct
0.000 0.000 0.000 Zn
0.250 0.750 0.500 Cd
0.750 0.250 0.500 Cd
0.396 0.396 0.000 Si
0.604 0.604 0.000 Si
```

Computed properties:
- formation energy without anion corrections (meV per atom) = 410
- energy above the lowest structure with this stoichiometry (eV per atom) = 0.129
- crystal system = tetragonal

Ordered D(E_F) results: 5.05 1.62 2.97 5.04 2.35 2.73 10.77 8.93 6.28 3.70 0.78 2.02; unit states/eV/f.u..
Ordered spin magnetization results: 1.04 0.00 0.43 0.00 0.00 0.00 0.15 0.04 0.00 0.00 0.00 0.00; unit μB per formula unit.